(P)
Density functional theory data (GGA-PBE) for an optimized crystal structure of P2PdAu2.

Output
Space-group type: No. 25

Cell: 4.5951 3.2550 5.8697 Å, 90.00 90.00 90.00°
Last column: nearest neighbours and their distance in Å.
Sites, in units of the cell vectors:
Au: 0.0000 0.0000 0.9529  2 P 2.42
Au: 0.0000 0.5000 0.4090  2 P 2.47
Pd: 0.5000 0.0000 0.2366  3 P 2.41-2.51
P: 0.5000 0.5000 0.5622  2 P 2.25, 2 Au 2.47, 2 Pd 2.51
P: 0.5000 0.0000 0.8261  2 P 2.25, 1 Pd 2.41, 2 Au 2.42

=====

(Q)
Density functional theory data (GGA-PBE) for an optimized crystal structure of P2PdAu2.

Output
Space-group type: No. 2

Cell: 5.7281 5.7697 5.9390 Å, 96.29 110.93 90.41°
Last column: nearest neighbours and their distance in Å.
Sites, in units of the cell vectors:
P: 0.1865 0.5327 0.4936  2 P 2.20-2.21, 1 Au 2.37, 1 Pd 2.38
P: 0.8135 0.4673 0.5064  2 P 2.20-2.21, 1 Au 2.37, 1 Pd 2.38
P: 0.3932 0.3389 0.7999  1 P 2.21, 2 Pd 2.35-2.41, 1 Au 2.42
P: 0.6068 0.6611 0.2001  1 P 2.21, 2 Pd 2.35-2.41, 1 Au 2.42
Au: 0.7852 0.1005 0.8916  1 P 2.56, 1 Au 2.68
Au: 0.2724 0.9364 0.6325  2 P 2.37-2.42
Au: 0.2148 0.8995 0.1084  1 P 2.56, 1 Au 2.68
Au: 0.7276 0.0636 0.3675  2 P 2.37-2.42
Pd: 0.7499 0.5995 0.8736  3 P 2.35-2.41
Pd: 0.2501 0.4005 0.1264  3 P 2.35-2.41

=====

Least stable: (P)

=====

(P)
Density functional theory data (GGA-PBE) for an optimized crystal structure of P2PdAu2.

Output
Space-group type: No. 10

Cell: 3.9272 4.5034 5.2129 Å, 90.00 96.34 90.00°
Last column: nearest neighbours and their distance in Å.
Sites, in units of the cell vectors:
P: 0.4776 0.0000 0.7118  1 P 2.23, 1 Pd 2.41, 2 Au 2.43
P: 0.5224 0.0000 0.2882  1 P 2.23, 1 Pd 2.41, 2 Au 2.43
Au: 0.7473 0.5000 0.2501  2 P 2.43
Au: 0.2527 0.5000 0.7499  2 P 2.43
Pd: 0.0000 0.0000 0.0000  4 P 2.41-2.53

=====

(Q)
Density functional theory data (GGA-PBE) for an optimized crystal structure of P2PdAu2.

Output
Space-group type: No. 2

Cell: 3.8911 4.3864 5.6727 Å, 99.00 107.12 95.85°
Last column: nearest neighbours and their distance in Å.
Sites, in units of the cell vectors:
P: 0.5041 0.2834 0.8760  1 P 2.19, 1 Pd 2.39
P: 0.4959 0.7166 0.1240  1 P 2.19, 1 Pd 2.39
Au: 0.0000 0.0000 0.5000  2 P 2.48
Au: 0.5000 0.5000 0.5000  2 P 2.46
Pd: 0.0000 0.0000 0.0000  4 P 2.39-2.54

=====

Least stable: (P)

=====

(P)
Density functional theory data (GGA-PBE) for an optimized crystal structure of P2PdAu2.

Output
Space-group type: No. 1

Cell: 4.4631 6.1298 7.4989 Å, 75.49 79.28 88.09°
Last column: nearest neighbours and their distance in Å.
Sites, in units of the cell vectors:
P: 0.5523 0.5216 0.9559  1 P 2.20, 3 Pd 2.34-2.40, 1 Au 2.37
P: 0.5589 0.2316 0.8325  1 P 2.20, 2 Au 2.36-2.45
P: 0.9349 0.3236 0.3750  1 P 2.21, 3 Pd 2.35-2.41, 1 Au 2.43
P: 0.9682 0.9640 0.3708  1 P 2.21, 3 Au 2.37-2.44
Pd: 0.0265 0.5380 0.0588  3 P 2.34-2.40
Pd: 0.4627 0.4405 0.2918  3 P 2.35-2.41
Au: 0.4493 0.8492 0.4669  2 P 2.37-2.42
Au: 0.1348 0.2879 0.6612  3 P 2.43-2.64
Au: 0.8879 0.7640 0.7094  2 P 2.37-2.49
Au: 0.3066 0.9434 0.0808  2 P 2.36-2.44

=====

(Q)
Density functional theory data (GGA-PBE) for an optimized crystal structure of P2PdAu2.

Output
Space-group type: No. 12

Cell: 3.9896 8.8558 6.1784 Å, 90.00 122.74 90.00°
Last column: nearest neighbours and their distance in Å.
Sites, in units of the cell vectors:
P: 0.2284 0.5000 0.2109  1 P 2.23, 1 Pd 2.40, 2 Au 2.42
P: 0.2284 0.0000 0.7109  1 P 2.23, 1 Pd 2.40, 2 Au 2.42
P: 0.7716 0.0000 0.2891  1 P 2.23, 1 Pd 2.40, 2 Au 2.42
P: 0.7716 0.5000 0.7891  1 P 2.23, 1 Pd 2.40, 2 Au 2.42
Au: 0.5000 0.7500 0.7500  2 P 2.42
Au: 0.5000 0.2500 0.7500  2 P 2.42
Au: 0.5000 0.7500 0.2500  2 P 2.42
Au: 0.5000 0.2500 0.2500  2 P 2.42
Pd: 0.0000 0.0000 0.0000  4 P 2.40-2.59
Pd: 0.0000 0.5000 0.5000  4 P 2.40-2.59

=====

Least stable: (P)

=====

(P)
Density functional theory data (GGA-PBE) for an optimized crystal structure of P2PdAu2.

Output
Space-group type: No. 1

Cell: 4.6467 5.9537 6.6205 Å, 81.91 80.62 89.83°
Last column: nearest neighbours and their distance in Å.
Sites, in units of the cell vectors:
P: 0.1793 0.1576 0.8953  1 P 2.23, 2 Au 2.46-2.47
P: 0.7403 0.6940 0.6354  1 P 2.25, 1 Pd 2.40, 1 Au 2.51
P: 0.8154 0.4914 0.3696  1 P 2.25, 3 Pd 2.42-2.47, 1 Au 2.48
P: 0.2553 0.0084 0.6011  1 P 2.23, 3 Pd 2.37-2.46
Au: 0.2142 0.5773 0.7558  4 P 2.51-2.62
Au: 0.1225 0.8105 0.1639  2 P 2.48-2.51
Au: 0.6504 0.5827 0.0229  2 P 2.52, 1 Pd 2.80
Au: 0.6512 0.0896 0.0122  2 P 2.46-2.47
Pd: 0.7821 0.0891 0.4932  4 P 2.40-2.46
Pd: 0.3072 0.3632 0.3836  3 P 2.37-2.47

=====

(Q)
Density functional theory data (GGA-PBE) for an optimized crystal structure of P2PdAu2.

Output
Space-group type: No. 8

Cell: 5.9568 5.8260 7.1563 Å, 90.00 127.23 90.00°
Last column: nearest neighbours and their distance in Å.
Sites, in units of the cell vectors:
P: 0.5160 0.1849 0.0029  1 P 2.15, 1 Au 2.37
P: 0.5160 0.6849 0.5029  1 P 2.15, 1 Au 2.37
P: 0.5160 0.3151 0.5029  1 P 2.15, 1 Au 2.37
P: 0.5160 0.8151 0.0029  1 P 2.15, 1 Au 2.37
Pd: 0.6465 0.5000 0.8642  4 P 2.43-2.45
Pd: 0.6465 0.0000 0.3642  4 P 2.43-2.45
Au: 0.0263 0.7526 0.2969  2 P 2.37-2.46
Au: 0.0263 0.2526 0.7969  2 P 2.37-2.46
Au: 0.0263 0.2474 0.2969  2 P 2.37-2.46
Au: 0.0263 0.7474 0.7969  2 P 2.37-2.46

=====

(R)
Density functional theory data (GGA-PBE) for an optimized crystal structure of P2PdAu2.

Output
Space-group type: No. 1

Cell: 4.5590 4.9755 5.3541 Å, 77.17 69.01 62.92°
Last column: nearest neighbours and their distance in Å.
Sites, in units of the cell vectors:
Au: 0.2502 0.6894 0.9550  2 P 2.37-2.38
Au: 0.1185 0.0639 0.3430  3 P 2.40-2.50
P: 0.7198 0.8818 0.3006  1 P 2.20, 2 Au 2.38-2.40, 1 Pd 2.45
P: 0.7872 0.5132 0.6176  1 P 2.20, 1 Au 2.37, 1 Pd 2.40
Pd: 0.3932 0.3372 0.5512  3 P 2.40-2.48

=====

Least stable: (R)

=====

(P)
Density functional theory data (GGA-PBE) for an optimized crystal structure of P2PdAu2.

Output
Space-group type: No. 5

Cell: 4.4828 11.7695 8.4548 Å, 90.00 121.54 90.00°
Last column: nearest neighbours and their distance in Å.
Sites, in units of the cell vectors:
Pd: 0.6289 0.7792 0.8792  3 P 2.37-2.42
Pd: 0.3711 0.7792 0.1208  3 P 2.37-2.42
Pd: 0.6289 0.2792 0.3792  3 P 2.37-2.42
Pd: 0.3711 0.2792 0.6208  3 P 2.37-2.42
Au: 0.0000 0.7925 0.5000  2 P 2.41
Au: 0.3697 0.5678 0.6261  3 P 2.42-2.66
Au: 0.0000 0.2925 0.0000  2 P 2.41
Au: 0.6303 0.0678 0.8739  3 P 2.42-2.66
Au: 0.5000 0.5491 0.0000  2 P 2.36
Au: 0.6303 0.5678 0.3739  3 P 2.42-2.66
Au: 0.5000 0.0491 0.5000  2 P 2.36
Au: 0.3697 0.0678 0.1261  3 P 2.42-2.66
P: 0.0414 0.8220 0.7928  1 P 2.19, 3 Pd 2.37-2.42, 1 Au 2.41
P: 0.0411 0.0072 0.7711  1 P 2.19, 2 Au 2.36-2.42
P: 0.9589 0.5072 0.7289  1 P 2.19, 2 Au 2.36-2.42
P: 0.9586 0.3220 0.7072  1 P 2.19, 3 Pd 2.37-2.42, 1 Au 2.41
P: 0.0414 0.3220 0.2928  1 P 2.19, 3 Pd 2.37-2.42, 1 Au 2.41
P: 0.0411 0.5072 0.2711  1 P 2.19, 2 Au 2.36-2.42
P: 0.9589 0.0072 0.2289  1 P 2.19, 2 Au 2.36-2.42
P: 0.9586 0.8220 0.2072  1 P 2.19, 3 Pd 2.37-2.42, 1 Au 2.41

=====

(Q)
Density functional theory data (GGA-PBE) for an optimized crystal structure of P2PdAu2.

Output
Space-group type: No. 127

Cell: 6.7799 6.7799 3.7287 Å, 90.00 90.00 90.00°
Last column: nearest neighbours and their distance in Å.
Sites, in units of the cell vectors:
P: 0.8264 0.6736 0.0000  2 Pd 2.51, 2 Au 2.53
P: 0.6736 0.1736 0.0000  2 Pd 2.51, 2 Au 2.53
P: 0.1736 0.3264 0.0000  2 Pd 2.51, 2 Au 2.53
P: 0.3264 0.8264 0.0000  2 Pd 2.51, 2 Au 2.53
Au: 0.1473 0.6473 0.5000  2 P 2.53, 1 Au 2.83
Au: 0.6473 0.8527 0.5000  2 P 2.53, 1 Au 2.83
Au: 0.8527 0.3527 0.5000  2 P 2.53, 1 Au 2.83
Au: 0.3527 0.1473 0.5000  2 P 2.53, 1 Au 2.83
Pd: 0.5000 0.5000 0.0000  4 P 2.51
Pd: 0.0000 0.0000 0.0000  4 P 2.51

=====

Least stable: (Q)

=====

(P)
Density functional theory data (GGA-PBE) for an optimized crystal structure of P2Pd8Au.

Output
Space-group type: No. 12

Cell: 4.4537 6.5303 6.5303 Å, 111.60 97.89 97.89°
Last column: nearest neighbours and their distance in Å.
Sites, in units of the cell vectors:
Pd: 0.5000 0.7481 0.2519  2 P 2.35
Pd: 0.5000 0.2519 0.7481  2 P 2.35
Pd: 0.3029 0.6127 0.6127  2 P 2.39
Pd: 0.0914 0.3278 0.0662  2 P 2.41-2.49
Pd: 0.6971 0.3873 0.3873  2 P 2.39
Pd: 0.9086 0.9338 0.6722  2 P 2.41-2.49
Pd: 0.0914 0.0662 0.3278  2 P 2.41-2.49
Pd: 0.9086 0.6722 0.9338  2 P 2.41-2.49
P: 0.0000 0.3211 0.6789  8 Pd 2.35-2.49
P: 0.0000 0.6789 0.3211  8 Pd 2.35-2.49
Au: 0.5000 0.0000 0.0000  12 Pd 2.72-3.03

=====

(Q)
Density functional theory data (GGA-PBE) for an optimized crystal structure of P2Pd8Au.

Output
Space-group type: No. 12

Cell: 4.3725 5.1653 11.4043 Å, 103.09 124.44 90.00°
Last column: nearest neighbours and their distance in Å.
Sites, in units of the cell vectors:
Pd: 0.2718 0.1780 0.8477  1 P 2.38, 2 Pd 2.54-2.63
Pd: 0.5644 0.8498 0.6996  2 P 2.27-2.29
Pd: 0.2718 0.6697 0.8477  1 P 2.38, 2 Pd 2.54-2.63
Pd: 0.7282 0.3303 0.1523  1 P 2.38, 2 Pd 2.54-2.63
Pd: 0.8765 0.7041 0.4081  1 P 2.26
Pd: 0.4356 0.1502 0.3004  2 P 2.27-2.29
Pd: 0.7282 0.8220 0.1523  1 P 2.38, 2 Pd 2.54-2.63
Pd: 0.1235 0.2959 0.5919  1 P 2.26
P: 0.9567 0.8141 0.6283  5 Pd 2.26-2.38
P: 0.0433 0.1859 0.3717  5 Pd 2.26-2.38
Au: 0.0000 0.0000 0.0000  10 Pd 2.72-2.91

=====

Least stable: (Q)

=====

(P)
Density functional theory data (GGA-PBE) for an optimized crystal structure of PPd3Au.

Output
Space-group type: No. 221

Cell: 4.9222 4.9222 4.9222 Å, 90.00 90.00 90.00°
Last column: nearest neighbours and their distance in Å.
Sites, in units of the cell vectors:
Pd: 0.0000 0.0000 0.5000  2 Au 2.46
Pd: 0.5000 0.0000 0.0000  2 Au 2.46
Pd: 0.0000 0.5000 0.0000  2 Au 2.46
Au: 0.0000 0.0000 0.0000  6 Pd 2.46
P: 0.5000 0.5000 0.5000  12 Pd 3.48

=====

(Q)
Density functional theory data (GGA-PBE) for an optimized crystal structure of PPd3Au.

Output
Space-group type: No. 221

Cell: 4.4681 4.4681 4.4681 Å, 90.00 90.00 90.00°
Last column: nearest neighbours and their distance in Å.
Sites, in units of the cell vectors:
Pd: 0.5000 0.0000 0.0000  2 P 2.23
Pd: 0.0000 0.0000 0.5000  2 P 2.23
Pd: 0.0000 0.5000 0.0000  2 P 2.23
Au: 0.5000 0.5000 0.5000  12 Pd 3.16
P: 0.0000 0.0000 0.0000  6 Pd 2.23

=====

(R)
Density functional theory data (GGA-PBE) for an optimized crystal structure of PPd3Au.

Output
Space-group type: No. 1

Cell: 4.5000 5.4222 7.6537 Å, 64.46 91.18 102.67°
Last column: nearest neighbours and their distance in Å.
Sites, in units of the cell vectors:
P: 0.9332 0.8098 0.2477  6 Pd 2.32-2.44, 1 Au 2.45
P: 0.7475 0.9651 0.7381  6 Pd 2.32-2.43, 1 Au 2.49
Pd: 0.8974 0.7040 0.5787  2 P 2.34-2.43
Pd: 0.9324 0.6515 0.0104  2 P 2.32-2.33
Pd: 0.7614 0.1410 0.9729  2 P 2.35-2.36
Pd: 0.8196 0.2978 0.4163  2 P 2.32-2.44
Pd: 0.4055 0.6787 0.3407  2 P 2.35-2.39
Pd: 0.2932 0.1212 0.6723  2 P 2.34-2.40
Au: 0.3581 0.5197 0.8149  1 P 2.49, 3 Pd 2.77-2.79
Au: 0.2995 0.2317 0.2243  1 P 2.45

=====

Least stable: (P)

=====

(P)
Density functional theory data (GGA-PBE) for an optimized crystal structure of P2Pd2Au.

Output
Space-group type: No. 127

Cell: 7.1718 7.1718 3.0727 Å, 90.00 90.00 90.00°
Last column: nearest neighbours and their distance in Å.
Sites, in units of the cell vectors:
Pd: 0.8588 0.3588 0.5000  6 P 2.52-2.66
Pd: 0.6412 0.8588 0.5000  6 P 2.52-2.66
Pd: 0.3588 0.1412 0.5000  6 P 2.52-2.66
Pd: 0.1412 0.6412 0.5000  6 P 2.52-2.66
P: 0.6614 0.1614 0.0000  6 Pd 2.52-2.66, 2 Au 2.69
P: 0.8386 0.6614 0.0000  6 Pd 2.52-2.66, 2 Au 2.69
P: 0.1614 0.3386 0.0000  6 Pd 2.52-2.66, 2 Au 2.69
P: 0.3386 0.8386 0.0000  6 Pd 2.52-2.66, 2 Au 2.69
Au: 0.0000 0.0000 0.0000  4 P 2.69
Au: 0.5000 0.5000 0.0000  4 P 2.69

=====

(Q)
Density functional theory data (GGA-PBE) for an optimized crystal structure of P2Pd2Au.

Output
Space-group type: No. 139

Cell: 3.4765 3.4765 7.1024 Å, 75.83 75.83 90.00°
Last column: nearest neighbours and their distance in Å.
Sites, in units of the cell vectors:
Pd: 0.6105 0.6105 0.7789  4 P 2.54
Pd: 0.3895 0.3895 0.2211  4 P 2.54
P: 0.7500 0.2500 0.5000  4 P 2.46, 4 Pd 2.54
P: 0.2500 0.7500 0.5000  4 P 2.46, 4 Pd 2.54
Au: 0.0000 0.0000 0.0000  8 Pd 2.87

=====

Least stable: (Q)

=====

(P)
Density functional theory data (GGA-PBE) for an optimized crystal structure of P2Pt2Au.

Output
Space-group type: No. 139

Cell: 4.4646 4.4646 5.2189 Å, 64.68 64.68 90.00°
Last column: nearest neighbours and their distance in Å.
Sites, in units of the cell vectors:
P: 0.3647 0.3647 0.2707  1 P 2.25, 4 Pt 2.43
P: 0.6353 0.6353 0.7293  1 P 2.25, 4 Pt 2.43
Pt: 0.2500 0.7500 0.5000  4 P 2.43
Pt: 0.7500 0.2500 0.5000  4 P 2.43
Au: 0.0000 0.0000 0.0000  10 P 3.03-3.35, 8 Pt 3.05

=====

(Q)
Density functional theory data (GGA-PBE) for an optimized crystal structure of P2Pt2Au.

Output
Space-group type: No. 139

Cell: 3.9375 3.9375 6.2230 Å, 71.56 71.56 90.00°
Last column: nearest neighbours and their distance in Å.
Sites, in units of the cell vectors:
Pt: 0.6253 0.6253 0.7494  4 P 2.41
Pt: 0.3747 0.3747 0.2506  4 P 2.41
P: 0.7500 0.2500 0.5000  4 Pt 2.41
P: 0.2500 0.7500 0.5000  4 Pt 2.41
Au: 0.0000 0.0000 0.0000  8 Pt 3.11, 8 P 3.41

=====

Least stable: (Q)

=====

(P)
Density functional theory data (GGA-PBE) for an optimized crystal structure of PPtAu3.

Output
Space-group type: No. 221

Cell: 4.6371 4.6371 4.6371 Å, 90.00 90.00 90.00°
Last column: nearest neighbours and their distance in Å.
Sites, in units of the cell vectors:
P: 0.0000 0.0000 0.0000  6 Au 2.32
Pt: 0.5000 0.5000 0.5000  12 Au 3.28
Au: 0.0000 0.5000 0.0000  2 P 2.32
Au: 0.0000 0.0000 0.5000  2 P 2.32
Au: 0.5000 0.0000 0.0000  2 P 2.32

=====

(Q)
Density functional theory data (GGA-PBE) for an optimized crystal structure of PPtAu3.

Output
Space-group type: No. 221

Cell: 5.0499 5.0499 5.0499 Å, 90.00 90.00 90.00°
Last column: nearest neighbours and their distance in Å.
Sites, in units of the cell vectors:
P: 0.5000 0.5000 0.5000  12 Au 3.57
Au: 0.0000 0.0000 0.5000  2 Pt 2.52
Au: 0.0000 0.5000 0.0000  2 Pt 2.52
Au: 0.5000 0.0000 0.0000  2 Pt 2.52
Pt: 0.0000 0.0000 0.0000  6 Au 2.52

=====

Least stable: (Q)

=====

(P)
Density functional theory data (GGA-PBE) for an optimized crystal structure of ZnP2PtAu.

Output
Space-group type: No. 123

Cell: 4.4530 4.4530 4.8251 Å, 90.00 90.00 90.00°
Last column: nearest neighbours and their distance in Å.
Sites, in units of the cell vectors:
P: 0.0000 0.5000 0.0000  2 Zn 2.23
P: 0.5000 0.0000 0.0000  2 Zn 2.23
Au: 0.0000 0.0000 0.5000  2 Zn 2.41
Zn: 0.0000 0.0000 0.0000  4 P 2.23, 2 Au 2.41
Pt: 0.5000 0.5000 0.5000  4 Au 3.15, 8 P 3.28

=====

(Q)
Density functional theory data (GGA-PBE) for an optimized crystal structure of ZnP2PtAu.

Output
Space-group type: No. 123

Cell: 4.6620 5.1878 4.6620 Å, 90.00 90.00 90.00°
Last column: nearest neighbours and their distance in Å.
Sites, in units of the cell vectors:
Pt: 0.0000 0.5000 0.0000  2 Au 2.59
Au: 0.0000 0.0000 0.0000  4 P 2.33, 2 Pt 2.59
P: 0.0000 0.0000 0.5000  2 Au 2.33
P: 0.5000 0.0000 0.0000  2 Au 2.33
Zn: 0.5000 0.5000 0.5000  4 Pt 3.30, 8 P 3.49

=====

Least stable: (Q)